# 1
SmGa4Ni2Rh | PBE | optimized geometry

Output
ρ, g cm⁻³: 8.23
Magnetic moment, μB/f.u.: 0.00
Crystal system: trigonal
Energy of formation from the pure elements, kJ/mol of formula units: -412

```
data_SmGa4Ni2Rh
_chemical_formula_sum 'Sm3 Ga12 Ni6 Rh3'
_cell_length_a 4.1313
_cell_length_b 4.1313
_cell_length_c 26.6107
_cell_angle_alpha 90.00
_cell_angle_beta 90.00
_cell_angle_gamma 120.00
_symmetry_space_group_name_H-M 'R -3 m'
_symmetry_Int_Tables_number 166
_symmetry_space_group_name_Hall '-R 3 2"'
loop_
_atom_site_label
_atom_site_fract_x
_atom_site_fract_y
_atom_site_fract_z
_atom_site_occupancy
Sm1 0.0000 0.0000 0.0000 1
Ga1 0.0000 0.0000 0.1291 1
Ga2 0.0000 0.0000 0.4024 1
Ni1 0.0000 0.0000 0.2302 1
Rh1 0.0000 0.0000 0.5000 1
```

# 2
Sr2Ga4NiRh3 | PBE | optimized geometry

Output
ρ, g cm⁻³: 7.11
Magnetic moment, μB/f.u.: 0.00
Crystal system: tetragonal
Energy of formation from the pure elements, kJ/mol of formula units: -575

```
data_Sr2Ga4NiRh3
_chemical_formula_sum 'Sr2 Ga4 Ni1 Rh3'
_cell_length_a 4.2718
_cell_length_b 4.2718
_cell_length_c 10.5146
_cell_angle_alpha 90.00
_cell_angle_beta 90.00
_cell_angle_gamma 90.00
_symmetry_space_group_name_H-M 'P -4 m 2'
_symmetry_Int_Tables_number 115
loop_
_symmetry_equiv_pos_as_xyz
'x,y,z'
'y,-x,-z'
'-x,-y,z'
'-y,x,-z'
'-x,y,z'
'-y,-x,-z'
'x,-y,z'
'y,x,-z'
loop_
_atom_site_label
_atom_site_fract_x
_atom_site_fract_y
_atom_site_fract_z
_atom_site_occupancy
Sr1 0.0000 0.5000 0.2446 1
Ga1 0.0000 0.0000 0.5000 1
Ga2 0.0000 0.5000 0.8785 1
Ga3 0.5000 0.5000 0.5000 1
Ni1 0.5000 0.5000 0.0000 1
Rh1 0.0000 0.0000 0.0000 1
Rh2 0.0000 0.5000 0.6313 1
```

# 3
SrGa2NiRh | PBE | optimized geometry

Output
ρ, g cm⁻³: 6.75
Magnetic moment, μB/f.u.: 0.00
Crystal system: tetragonal
Energy of formation from the pure elements, kJ/mol of formula units: -258

```
data_SrGa2NiRh
_chemical_formula_sum 'Sr2 Ga4 Ni2 Rh2'
_cell_length_a 4.1942
_cell_length_b 4.1942
_cell_length_c 10.8645
_cell_angle_alpha 90.00
_cell_angle_beta 90.00
_cell_angle_gamma 90.00
_symmetry_space_group_name_H-M 'I -4 m 2'
_symmetry_Int_Tables_number 119
_symmetry_space_group_name_Hall 'I -4 -2'
loop_
_atom_site_label
_atom_site_fract_x
_atom_site_fract_y
_atom_site_fract_z
_atom_site_occupancy
Sr1 0.0000 0.0000 0.0000 1
Ga1 0.0000 0.0000 0.3670 1
Ni1 0.0000 0.5000 0.7500 1
Rh1 0.0000 0.5000 0.2500 1
```

# 4
SrGa3NiRh | PBE | optimized geometry

Output
ρ, g cm⁻³: 6.11
Magnetic moment, μB/f.u.: 0.00
Crystal system: orthorhombic
Energy of formation from the pure elements, kJ/mol of formula units: -246

```
data_SrGa3NiRh
_chemical_formula_sum 'Sr4 Ga12 Ni4 Rh4'
_cell_length_a 7.3164
_cell_length_b 11.1992
_cell_length_c 6.0785
_cell_angle_alpha 90.00
_cell_angle_beta 90.00
_cell_angle_gamma 90.00
_symmetry_space_group_name_H-M 'C m c m'
_symmetry_Int_Tables_number 63
_symmetry_space_group_name_Hall '-C 2c 2'
loop_
_atom_site_label
_atom_site_fract_x
_atom_site_fract_y
_atom_site_fract_z
_atom_site_occupancy
Sr1 0.0000 0.2297 0.2500 1
Ga1 0.0000 0.2840 0.7500 1
Ga2 0.2484 0.0000 0.0000 1
Ni1 0.0000 0.4834 0.7500 1
Rh1 0.0000 0.0740 0.7500 1
```

# 5
TaGaNiRh | PBE | optimized geometry

Output
ρ, g cm⁻³: 11.90
Magnetic moment, μB/f.u.: 0.83
E above lowest polymorph, meV/atom: 0
Crystal system: tetragonal
Energy of formation from the pure elements, kJ/mol of formula units: -172

```
data_TaGaNiRh
_chemical_formula_sum 'Ta2 Ga2 Ni2 Rh2'
_cell_length_a 4.0085
_cell_length_b 4.0085
_cell_length_c 7.1613
_cell_angle_alpha 90.00
_cell_angle_beta 90.00
_cell_angle_gamma 90.00
_symmetry_space_group_name_H-M 'I -4 m 2'
_symmetry_Int_Tables_number 119
_symmetry_space_group_name_Hall 'I -4 -2'
loop_
_atom_site_label
_atom_site_fract_x
_atom_site_fract_y
_atom_site_fract_z
_atom_site_occupancy
Ta1 0.0000 0.0000 0.0000 1
Ga1 0.0000 0.0000 0.5000 1
Ni1 0.0000 0.5000 0.7500 1
Rh1 0.0000 0.5000 0.2500 1
```

# 6
TaGaNiRh | PBE | optimized geometry

Output
ρ, g cm⁻³: 11.82
Magnetic moment, μB/f.u.: 0.00
E above lowest polymorph, meV/atom: 25
Crystal system: cubic
Energy of formation from the pure elements, kJ/mol of formula units: -163

```
data_TaGaNiRh
_chemical_formula_sum 'Ta4 Ga4 Ni4 Rh4'
_cell_length_a 6.1411
_cell_length_b 6.1411
_cell_length_c 6.1411
_cell_angle_alpha 90.00
_cell_angle_beta 90.00
_cell_angle_gamma 90.00
_symmetry_space_group_name_H-M 'F -4 3 m'
_symmetry_Int_Tables_number 216
_symmetry_space_group_name_Hall 'F -4 2 3'
loop_
_atom_site_label
_atom_site_fract_x
_atom_site_fract_y
_atom_site_fract_z
_atom_site_occupancy
Ta1 0.0000 0.0000 0.0000 1
Ga1 0.0000 0.0000 0.5000 1
Ni1 0.2500 0.2500 0.2500 1
Rh1 0.2500 0.2500 0.7500 1
```

> Which value of energy of formation from the pure elements does entry 6 give?

-163 kJ/mol of formula units

What did the third record say?
SrGa2NiRh | PBE | optimized geometry

Output
ρ, g cm⁻³: 6.75
Magnetic moment, μB/f.u.: 0.00
Crystal system: tetragonal
Energy of formation from the pure elements, kJ/mol of formula units: -258

```
data_SrGa2NiRh
_chemical_formula_sum 'Sr2 Ga4 Ni2 Rh2'
_cell_length_a 4.1942
_cell_length_b 4.1942
_cell_length_c 10.8645
_cell_angle_alpha 90.00
_cell_angle_beta 90.00
_cell_angle_gamma 90.00
_symmetry_space_group_name_H-M 'I -4 m 2'
_symmetry_Int_Tables_number 119
_symmetry_space_group_name_Hall 'I -4 -2'
loop_
_atom_site_label
_atom_site_fract_x
_atom_site_fract_y
_atom_site_fract_z
_atom_site_occupancy
Sr1 0.0000 0.0000 0.0000 1
Ga1 0.0000 0.0000 0.3670 1
Ni1 0.0000 0.5000 0.7500 1
Rh1 0.0000 0.5000 0.2500 1
```

> energy of formation from the pure elements of number 3 (SrGa2NiRh)?

-258 kJ/mol of formula units